This record from Alexandria describes DyTm15In4 after structural relaxation. The functional is PBE-GGA.

The calculation puts the energy of formation from the pure elements at -196 meV per atom. The total magnetic moment comes out at 0.00 μB per cell. For the theoretical density, the calculation gives 9.4 g/cm³. The raw total energy is -4.3272 eV/atom. Its crystal system is tetragonal.

Lattice parameters (Å, degrees): 4.796 4.796 24.328 90.00 90.00 90.00
Fractional positions:
Dy 0.000 0.000 0.000
Tm 0.000 0.500 0.105
Tm 0.000 0.500 0.303
Tm 0.000 0.500 0.500
Tm 0.000 0.500 0.697
Tm 0.000 0.500 0.895
Tm 0.500 0.000 0.105
Tm 0.500 0.000 0.303
Tm 0.500 0.000 0.500
Tm 0.500 0.000 0.697
Tm 0.500 0.000 0.895
Tm 0.500 0.500 0.000
Tm 0.500 0.500 0.205
Tm 0.500 0.500 0.402
Tm 0.500 0.500 0.598
Tm 0.500 0.500 0.795
In 0.000 0.000 0.206
In 0.000 0.000 0.402
In 0.000 0.000 0.598
In 0.000 0.000 0.794